# CeThHg

An optimized crystal structure of CeThHg (PBE-GGA, the Alexandria database). Values from VASP.

The total DFT energy (no corrections) is -4.651 eV per atom. Its total magnetization is 0.6 μB/f.u. As for the energy above the lowest structure with this stoichiometry: 29.8 meV/atom. For the density of states at the Fermi level, the calculation gives 5.885 states/eV per cell.

Quantum ESPRESSO input file:
```
&SYSTEM
  ibrav = 0, nat = 3, ntyp = 3
/
ATOMIC_SPECIES
Ce 140.12 Ce.upf
Hg 200.59 Hg.upf
Th 232.04 Th.upf
CELL_PARAMETERS angstrom
-0.678 -3.009 -1.473
3.303 -0.852 0.221
-2.525 -1.048 7.265
ATOMIC_POSITIONS crystal
Ce 0.325 0.325 0.650
Hg 0.669 0.669 0.338
Th 0.006 0.006 0.012
```


# CeThHg2

An optimized crystal structure of CeThHg2 (PBE-GGA, the Alexandria database). Values from VASP.

The total DFT energy (no corrections) is -3.614 eV per atom. Its total magnetization is 1.3 μB/f.u. As for the energy above the lowest structure with this stoichiometry: 131.6 meV/atom. For the density of states at the Fermi level, the calculation gives 7.338 states/eV per cell.

Quantum ESPRESSO input file:
```
&SYSTEM
  ibrav = 0, nat = 4, ntyp = 3
/
ATOMIC_SPECIES
Ce 140.12 Ce.upf
Hg 200.59 Hg.upf
Th 232.04 Th.upf
CELL_PARAMETERS angstrom
-0.802 -2.601 -2.252
1.918 -0.452 -2.932
6.804 -7.509 3.479
ATOMIC_POSITIONS crystal
Ce 0.500 0.500 0.500
Hg 0.249 0.249 0.254
Hg 0.751 0.751 0.746
Th 0.000 0.000 0.000
```


# Ce4Th3Hg

An optimized crystal structure of Ce4Th3Hg (PBE-GGA, the Alexandria database). Values from VASP.

The total DFT energy (no corrections) is -5.849 eV per atom. Its total magnetization is 1.1 μB/f.u. For the density of states at the Fermi level, the calculation gives 18.063 states/eV per cell.

Quantum ESPRESSO input file:
```
&SYSTEM
  ibrav = 0, nat = 8, ntyp = 3
/
ATOMIC_SPECIES
Th 232.04 Th.upf
Ce 140.12 Ce.upf
Hg 200.59 Hg.upf
CELL_PARAMETERS angstrom
-0.910 3.341 -0.535
-0.427 -0.663 -3.414
-18.110 -4.433 3.129
ATOMIC_POSITIONS crystal
Th 0.500 0.500 0.246
Th 0.500 0.500 0.500
Th 0.500 0.500 0.754
Ce 0.000 0.000 0.883
Ce 0.000 0.000 0.117
Ce 0.000 0.000 0.372
Ce 0.000 0.000 0.628
Hg 0.500 0.500 0.000
```


# CeThHg4

An optimized crystal structure of CeThHg4 (PBE-GGA, the Alexandria database). Values from VASP.

The total DFT energy (no corrections) is -2.554 eV per atom. Its total magnetization is 1.9 μB/f.u. As for the energy above the lowest structure with this stoichiometry: 176.3 meV/atom. For the density of states at the Fermi level, the calculation gives 9.767 states/eV per cell.

Quantum ESPRESSO input file:
```
&SYSTEM
  ibrav = 0, nat = 6, ntyp = 3
/
ATOMIC_SPECIES
Ce 140.12 Ce.upf
Hg 200.59 Hg.upf
Th 232.04 Th.upf
CELL_PARAMETERS angstrom
-5.428 -0.404 2.596
-0.978 -4.088 4.324
-0.749 1.775 5.714
ATOMIC_POSITIONS crystal
Ce 0.000 0.000 0.000
Hg 0.625 0.625 0.125
Hg 0.625 0.125 0.625
Hg 0.625 0.625 0.625
Hg 0.125 0.625 0.625
Th 0.250 0.250 0.250
```


# CeTh2Hg

An optimized crystal structure of CeTh2Hg (PBE-GGA, the Alexandria database). Values from VASP.

The total DFT energy (no corrections) is -5.211 eV per atom. Its total magnetization is 0.8 μB/f.u. As for the energy above the lowest structure with this stoichiometry: 142.1 meV/atom. For the density of states at the Fermi level, the calculation gives 9.151 states/eV per cell.

Quantum ESPRESSO input file:
```
&SYSTEM
  ibrav = 0, nat = 4, ntyp = 3
/
ATOMIC_SPECIES
Ce 140.12 Ce.upf
Hg 200.59 Hg.upf
Th 232.04 Th.upf
CELL_PARAMETERS angstrom
5.425 0.000 0.000
2.712 4.698 0.000
2.712 1.566 4.429
ATOMIC_POSITIONS crystal
Ce 0.500 0.500 0.500
Hg 0.000 0.000 0.000
Th 0.250 0.250 0.250
Th 0.750 0.750 0.750
```


# CeTh2Hg

An optimized crystal structure of CeTh2Hg (PBE-GGA, the Alexandria database). Values from VASP.

The total DFT energy (no corrections) is -5.327 eV per atom. Its total magnetization is 0.5 μB/f.u. As for the energy above the lowest structure with this stoichiometry: 26.5 meV/atom. For the density of states at the Fermi level, the calculation gives 7.890 states/eV per cell.

Quantum ESPRESSO input file:
```
&SYSTEM
  ibrav = 0, nat = 4, ntyp = 3
/
ATOMIC_SPECIES
Ce 140.12 Ce.upf
Hg 200.59 Hg.upf
Th 232.04 Th.upf
CELL_PARAMETERS angstrom
-4.198 -1.014 1.754
-1.448 -1.696 -4.445
1.605 -4.548 1.213
ATOMIC_POSITIONS crystal
Ce 0.500 0.500 0.500
Hg 0.500 0.000 0.000
Th 0.000 0.000 0.500
Th 0.000 0.500 0.000
```


# Ce2ThHg

An optimized crystal structure of Ce2ThHg (PBE-GGA, the Alexandria database). Values from VASP.

The total DFT energy (no corrections) is -5.036 eV per atom. Its total magnetization is 1.1 μB/f.u. As for the energy above the lowest structure with this stoichiometry: 0.0 meV/atom. For the density of states at the Fermi level, the calculation gives 10.367 states/eV per cell.

Quantum ESPRESSO input file:
```
&SYSTEM
  ibrav = 0, nat = 4, ntyp = 3
/
ATOMIC_SPECIES
Ce 140.12 Ce.upf
Hg 200.59 Hg.upf
Th 232.04 Th.upf
CELL_PARAMETERS angstrom
-1.748 1.206 2.854
2.298 -1.693 2.123
5.279 7.333 0.135
ATOMIC_POSITIONS crystal
Ce 0.000 0.000 0.760
Ce 0.000 0.000 0.240
Hg 0.500 0.500 0.000
Th 0.500 0.500 0.500
```


# Ce2ThTl2Hg2

An optimized crystal structure of Ce2ThTl2Hg2 (PBE-GGA, the Alexandria database). Values from VASP.

The total DFT energy (no corrections) is -3.698 eV per atom. Its total magnetization is 1.4 μB/f.u. For the density of states at the Fermi level, the calculation gives 12.279 states/eV per cell.

Quantum ESPRESSO input file:
```
&SYSTEM
  ibrav = 0, nat = 7, ntyp = 4
/
ATOMIC_SPECIES
Ce 140.12 Ce.upf
Th 232.04 Th.upf
Tl 204.38 Tl.upf
Hg 200.59 Hg.upf
CELL_PARAMETERS angstrom
-0.044 -3.859 -3.689
4.638 1.607 2.126
-3.785 -5.192 5.477
ATOMIC_POSITIONS crystal
Ce 0.559 0.118 0.678
Ce 0.441 0.882 0.322
Th 0.000 0.000 0.000
Tl 0.147 0.294 0.441
Tl 0.853 0.706 0.559
Hg 0.707 0.413 0.119
Hg 0.293 0.587 0.881
```


no.,calculated formation energy (meV/atom)
1,-99
2,-125
3,-62
4,-127
5,58
6,-58
7,-139
8,-180